## Zn3PbC (PBE)

Data for crystalline Zn3PbC at its relaxed geometry.

Summary:
For the energy of formation, the calculation gives 0.697 eV/atom. The volume is 84.2 Å³ per cell. The space group is Pm-3m, No. 221. As for the energy relative to the lowest polymorph listed for this composition: 0.000 eV per atom. For the total energy, the calculation gives -2.6538 eV per atom.

Geometry as POSCAR:
```
Zn3PbC
1.0
-2.715 -3.186 -1.299
1.738 0.158 -4.020
2.969 -3.005 1.166
Zn C Pb
3 1 1
Cartesian
1.484 -1.503 0.583 Zn
0.869 0.079 -2.010 Zn
-1.357 -1.593 -0.650 Zn
0.000 0.000 0.000 C
0.996 -3.016 -2.077 Pb
```